1.
Computed, not measured: a relaxed structure of NaPrBr2 at the PBE level of DFT.

Unit cell a=3.908 b=3.908 c=8.646 alpha=76.94 beta=76.94 gamma=60.00
Element x y z (fractional)
Br 0.076 0.076 0.772
Pr 0.500 0.500 0.501
Br 0.257 0.257 0.230
Na 0.667 0.667 0.998

Uncorrected formation energy   -30.2 kcal/mol of atoms
Calculated density   4.9 g/cm3
Energy above the lowest structure with this stoichiometry   0.00 eV per formula unit
Uncorrected energy   -3.67 eV/atom
Space-group type   R3m, No. 160



2.
Computed, not measured: a relaxed structure of FeSn2H2 at the PBE level of DFT.

Unit cell a=3.115 b=3.115 c=6.773 alpha=76.71 beta=76.71 gamma=90.00
Element x y z (fractional)
Fe 0.000 0.000 0.000
Sn 0.625 0.625 0.750
H 0.750 0.250 0.500
H 0.250 0.750 0.500
Sn 0.375 0.375 0.250

Calculated density   7.9 g/cm3
Uncorrected energy   -4.13 eV/atom
Space-group type   I4/mmm, No. 139